The following is a PBE calculation of an optimized crystal structure of Pd9Pb2, from OQMD via LeMat-Bulk.

Lattice parameters (Å, degrees): 2.9133 2.9133 32.1743 90.00 90.00 120.00
With the nearest neighbours (Å) after each atom.
Sites, in units of the cell vectors:
Pb1 0.6667 0.3333 0.1530  6 Pb 2.91, 3 Pd 2.93
Pb2 0.3333 0.6667 0.8470  6 Pb 2.91, 3 Pd 2.93
Pd1 0.3333 0.6667 0.2276  9 Pd 2.79-2.91, 3 Pb 2.93
Pd2 0.0000 0.0000 0.2968  12 Pd 2.76-2.91
Pd3 0.6667 0.3333 0.3650  12 Pd 2.75-2.91
Pd4 0.3333 0.6667 0.4325  12 Pd 2.75-2.91
Pd5 0.0000 0.0000 0.5000  12 Pd 2.75-2.91
Pd6 0.6667 0.3333 0.5675  12 Pd 2.75-2.91
Pd7 0.3333 0.6667 0.6350  12 Pd 2.75-2.91
Pd8 0.0000 0.0000 0.7032  12 Pd 2.76-2.91
Pd9 0.6667 0.3333 0.7724  9 Pd 2.79-2.91, 3 Pb 2.93

Computed properties:
- VASP energy (eV/f.u.) = -52.28
- space-group type = No. 164

=====

The following is a PBE calculation of an optimized crystal structure of Pd2Pb3, from OQMD via LeMat-Bulk.

Lattice parameters (Å, degrees): 7.9715 7.9715 3.6620 90.00 90.00 90.00
With the nearest neighbours (Å) after each atom.
Sites, in units of the cell vectors:
Pb1 0.0000 0.0000 0.0000  4 Pd 3.12
Pb2 0.5000 0.5000 0.0000  4 Pd 3.12
Pb3 0.3385 0.1615 0.5000  6 Pd 2.97-2.98
Pb4 0.8385 0.3385 0.5000  6 Pd 2.97-2.98
Pb5 0.1615 0.6615 0.5000  6 Pd 2.97-2.98
Pb6 0.6615 0.8385 0.5000  6 Pd 2.97-2.98
Pd1 0.6310 0.1310 0.0000  1 Pd 2.95, 8 Pb 2.97-3.12
Pd2 0.1310 0.3690 0.0000  1 Pd 2.95, 8 Pb 2.97-3.12
Pd3 0.8690 0.6310 0.0000  1 Pd 2.95, 8 Pb 2.97-3.12
Pd4 0.3690 0.8690 0.0000  1 Pd 2.95, 8 Pb 2.97-3.12

Computed properties:
- VASP energy (eV/f.u.) = -22.31
- space-group type = No. 127

=====

The following is a PBE calculation of an optimized crystal structure of PdPb2, from OQMD via LeMat-Bulk.

Lattice parameters (Å, degrees): 3.8224 3.8224 12.6117 90.00 90.00 120.00
With the nearest neighbours (Å) after each atom.
Sites, in units of the cell vectors:
Pb1 0.3333 0.6667 0.0167  3 Pd 2.85
Pb2 0.0000 0.0000 0.2345  3 Pd 2.82
Pb3 0.6667 0.3333 0.5167  3 Pd 2.85
Pb4 0.0000 0.0000 0.7345  3 Pd 2.82
Pd1 0.3333 0.6667 0.3738  6 Pb 2.82-2.85
Pd2 0.6667 0.3333 0.8738  6 Pb 2.82-2.85

Computed properties:
- VASP energy (eV/f.u.) = -12.90
- space-group type = No. 186

=====

Which of these has the lowest VASP energy? Pd9Pb2

=====

What did the first record say?
The following is a PBE calculation of an optimized crystal structure of Pd9Pb2, from OQMD via LeMat-Bulk.

Lattice parameters (Å, degrees): 2.9133 2.9133 32.1743 90.00 90.00 120.00
With the nearest neighbours (Å) after each atom.
Sites, in units of the cell vectors:
Pb1 0.6667 0.3333 0.1530  6 Pb 2.91, 3 Pd 2.93
Pb2 0.3333 0.6667 0.8470  6 Pb 2.91, 3 Pd 2.93
Pd1 0.3333 0.6667 0.2276  9 Pd 2.79-2.91, 3 Pb 2.93
Pd2 0.0000 0.0000 0.2968  12 Pd 2.76-2.91
Pd3 0.6667 0.3333 0.3650  12 Pd 2.75-2.91
Pd4 0.3333 0.6667 0.4325  12 Pd 2.75-2.91
Pd5 0.0000 0.0000 0.5000  12 Pd 2.75-2.91
Pd6 0.6667 0.3333 0.5675  12 Pd 2.75-2.91
Pd7 0.3333 0.6667 0.6350  12 Pd 2.75-2.91
Pd8 0.0000 0.0000 0.7032  12 Pd 2.76-2.91
Pd9 0.6667 0.3333 0.7724  9 Pd 2.79-2.91, 3 Pb 2.93

Computed properties:
- VASP energy (eV/f.u.) = -52.28
- space-group type = No. 164